Entry 1:
A geometry-optimized CsMnN2F structure, computed with PBE with a Hubbard U.

POSCAR file:
```
CsMnN2F
1.0
4.401 0.000 0.000
0.000 4.401 0.000
0.000 0.000 4.951
Cs Mn N F
1 1 2 1
Direct
0.000 0.000 0.000
0.500 0.500 0.500
0.000 0.500 0.000
0.500 0.000 0.000
0.000 0.000 0.500
```

Calculated volume, Å³/cell: 96
E above lowest polymorph, eV/f.u.: 8.258
DFT total energy, eV per atom: -3.78


Entry 2:
A geometry-optimized CsMnN2F structure, computed with PBE with a Hubbard U.

POSCAR file:
```
CsMnN2F
1.0
3.940 0.000 0.000
0.000 3.940 0.000
0.000 0.000 5.479
Cs Mn N F
1 1 2 1
Direct
0.000 0.000 0.000
0.500 0.500 0.500
0.000 0.500 0.500
0.500 0.000 0.500
0.500 0.500 0.000
```

Calculated volume, Å³/cell: 85
E above lowest polymorph, eV/f.u.: 0.000
DFT total energy, eV per atom: -5.43


Entry 3:
A geometry-optimized CsNaMnF6 structure, computed with PBE with a Hubbard U.

POSCAR file:
```
CsNaMnF6
1.0
5.762 0.000 0.000
-2.881 4.990 0.000
0.000 0.000 6.099
Cs Na Mn F
1 1 1 6
Direct
0.000 0.000 0.000
0.333 0.667 0.500
0.667 0.333 0.500
0.410 0.062 0.674
0.410 0.348 0.326
0.652 0.062 0.326
0.652 0.590 0.674
0.938 0.348 0.674
0.938 0.590 0.326
```

Calculated volume, Å³/cell: 175
DFT total energy, eV per atom: -4.90


Entry 4:
A geometry-optimized Cs2NaMn2F7 structure, computed with PBE with a Hubbard U.

POSCAR file:
```
Cs2NaMn2F7
1.0
-2.156 2.156 11.631
2.156 -2.156 11.631
2.156 2.156 -11.631
Cs Na Mn F
2 1 2 7
Direct
0.183 0.183 0.000
0.817 0.817 0.000
0.000 0.000 0.000
0.411 0.411 0.000
0.589 0.589 0.000
0.085 0.585 0.500
0.318 0.318 0.000
0.415 0.915 0.500
0.500 0.500 0.000
0.585 0.085 0.500
0.682 0.682 0.000
0.915 0.415 0.500
```

Calculated volume, Å³/cell: 216
DFT total energy, eV per atom: -5.28


Entry 5:
A geometry-optimized CsNaMn2F8 structure, computed with PBE with a Hubbard U.

POSCAR file:
```
CsNaMn2F8
1.0
5.614 0.000 0.000
-2.807 4.862 0.000
0.000 0.000 7.225
Cs Na Mn F
1 1 2 8
Direct
0.000 0.000 0.000
0.000 0.000 0.500
0.333 0.667 0.592
0.667 0.333 0.408
0.047 0.667 0.373
0.333 0.380 0.373
0.333 0.667 0.844
0.380 0.047 0.627
0.620 0.953 0.373
0.667 0.333 0.156
0.667 0.620 0.627
0.953 0.333 0.627
```

Calculated volume, Å³/cell: 197
DFT total energy, eV per atom: -5.11


Entry 6:
A geometry-optimized Cs2NaMnF6 structure, computed with PBE with a Hubbard U.

POSCAR file:
```
Cs2NaMnF6
1.0
3.185 1.839 10.407
-3.185 1.839 10.407
0.000 -3.678 10.407
Cs Na Mn F
4 2 2 12
Direct
0.126 0.126 0.126
0.285 0.285 0.285
0.715 0.715 0.715
0.874 0.874 0.874
0.404 0.404 0.404
0.596 0.596 0.596
0.000 0.000 0.000
0.500 0.500 0.500
0.180 0.604 0.604
0.188 0.188 0.736
0.188 0.736 0.188
0.264 0.812 0.812
0.396 0.396 0.820
0.396 0.820 0.396
0.604 0.180 0.604
0.604 0.604 0.180
0.736 0.188 0.188
0.812 0.264 0.812
0.812 0.812 0.264
0.820 0.396 0.396
```

Calculated volume, Å³/cell: 366
E above lowest polymorph, eV/f.u.: 0.000
DFT total energy, eV per atom: -4.86


Entry 7:
A geometry-optimized Cs3Na2MnF9 structure, computed with PBE with a Hubbard U.

POSCAR file:
```
Cs3Na2MnF9
1.0
6.425 0.000 0.000
-3.212 5.564 0.000
0.000 0.000 7.878
Cs Na Mn F
3 2 1 9
Direct
0.000 0.000 0.000
0.333 0.667 0.704
0.667 0.333 0.296
0.333 0.667 0.150
0.667 0.333 0.850
0.000 0.000 0.500
0.000 0.500 0.000
0.137 0.274 0.365
0.137 0.863 0.365
0.274 0.137 0.635
0.500 0.000 0.000
0.500 0.500 0.000
0.726 0.863 0.365
0.863 0.137 0.635
0.863 0.726 0.635
```

Calculated volume, Å³/cell: 282
DFT total energy, eV per atom: -4.59


Entry 8:
A geometry-optimized Cs4NaMn3F12 structure, computed with PBE with a Hubbard U.

POSCAR file:
```
Cs4NaMn3F12
1.0
-4.409 4.409 4.409
4.409 -4.409 4.409
4.409 4.409 -4.409
Cs Na Mn F
4 1 3 12
Direct
0.000 0.000 0.500
0.000 0.500 0.000
0.500 0.000 0.000
0.500 0.500 0.500
0.000 0.000 0.000
0.000 0.500 0.500
0.500 0.000 0.500
0.500 0.500 0.000
0.000 0.274 0.274
0.000 0.726 0.726
0.250 0.500 0.750
0.250 0.750 0.500
0.274 0.000 0.274
0.274 0.274 0.000
0.500 0.250 0.750
0.500 0.750 0.250
0.726 0.000 0.726
0.726 0.726 0.000
0.750 0.250 0.500
0.750 0.500 0.250
```

Calculated volume, Å³/cell: 343
DFT total energy, eV per atom: -5.20